The following is a PBE calculation of crystalline CsSr2Al2 at its relaxed geometry, from Alexandria via LeMat-Bulk. Values from VASP.

Cell and atoms, written as Quantum ESPRESSO input:
```
&SYSTEM
  ibrav = 0, nat = 5, ntyp = 3
/
ATOMIC_SPECIES
Cs 132.91 Cs.upf
Sr 87.62 Sr.upf
Al 26.98 Al.upf
ATOMIC_POSITIONS crystal
Cs 0.000 0.000 0.000
Sr 0.250 0.750 0.500
Sr 0.750 0.250 0.500
Al 0.387 0.387 0.000
Al 0.613 0.613 0.000
CELL_PARAMETERS angstrom
-3.056 3.056 5.587
3.056 -3.056 5.587
3.056 3.056 -5.587
```



The following is a PBE calculation of crystalline Cs3SrAl at its relaxed geometry, from Alexandria via LeMat-Bulk. Values from VASP.

Cell and atoms, written as Quantum ESPRESSO input:
```
&SYSTEM
  ibrav = 0, nat = 5, ntyp = 3
/
ATOMIC_SPECIES
Cs 132.91 Cs.upf
Sr 87.62 Sr.upf
Al 26.98 Al.upf
ATOMIC_POSITIONS crystal
Cs 0.000 0.000 0.500
Cs 0.000 0.500 0.000
Cs 0.500 0.000 0.000
Sr 0.500 0.500 0.500
Al 0.000 0.000 0.000
CELL_PARAMETERS angstrom
7.421 0.000 0.000
0.000 7.421 0.000
0.000 0.000 7.421
```



The following is a PBE calculation of crystalline CsSrAl2 at its relaxed geometry, from Alexandria via LeMat-Bulk. Values from VASP.

Cell and atoms, written as Quantum ESPRESSO input:
```
&SYSTEM
  ibrav = 0, nat = 4, ntyp = 3
/
ATOMIC_SPECIES
Cs 132.91 Cs.upf
Sr 87.62 Sr.upf
Al 26.98 Al.upf
ATOMIC_POSITIONS crystal
Cs 0.000 0.000 0.000
Sr 0.500 0.500 0.500
Al 0.250 0.250 0.250
Al 0.750 0.750 0.750
CELL_PARAMETERS angstrom
0.000 4.164 4.164
4.164 0.000 4.164
4.164 4.164 0.000
```



The following is a PBE calculation of crystalline CsSr3Al at its relaxed geometry, from Alexandria via LeMat-Bulk. Values from VASP.

Cell and atoms, written as Quantum ESPRESSO input:
```
&SYSTEM
  ibrav = 0, nat = 5, ntyp = 3
/
ATOMIC_SPECIES
Cs 132.91 Cs.upf
Sr 87.62 Sr.upf
Al 26.98 Al.upf
ATOMIC_POSITIONS crystal
Cs 0.000 0.000 0.000
Sr 0.000 0.500 0.500
Sr 0.500 0.000 0.500
Sr 0.500 0.500 0.000
Al 0.500 0.500 0.500
CELL_PARAMETERS angstrom
6.566 0.000 0.000
0.000 6.566 0.000
0.000 0.000 6.566
```



no.,ΔE to the lowest computed polymorph (meV per atom),formation enthalpy at 0 K (kJ per mole of atoms)
1,0.0,9.7
2,0.0,40.7
3,0.0,39.1
4,0.0,9.1